Entry 1:
The following is a PBE calculation of RuPt after structural relaxation, from the Alexandria database.

Values from the calculation:
**DFT formation energy**: 0.78 eV/f.u.
**Total DFT energy (no corrections)**: -14.5 eV for the cell shown

POSCAR file:
```
RuPt
1.0
-1.442 -1.049 -2.557
-2.154 -1.381 1.781
-1.732 2.591 -0.086
Ru Pt
1 1
Cartesian
-2.664 0.081 -0.431
0.000 0.000 0.000
```

***

Entry 2:
The following is a PBE calculation of Tb12Sm7Mg after structural relaxation, from the Alexandria database.

Values from the calculation:
**DFT formation energy**: 4.10 eV/f.u.
**Total DFT energy (no corrections)**: -86.1 eV for the cell shown
**Energy relative to the lowest polymorph listed for this composition**: 0 kJ/mol of formula units

POSCAR file:
```
Tb12Sm7Mg
1.0
-7.156 -4.644 1.904
4.523 -7.353 1.365
0.732 1.450 8.588
Tb Sm Mg
12 7 1
Cartesian
-0.683 -1.168 7.132
-4.471 -4.754 8.316
-4.079 -5.201 3.000
-3.625 -7.125 5.632
2.179 -5.345 8.857
-1.207 -3.905 8.884
1.725 -3.422 6.224
1.511 -7.403 6.207
-3.411 -3.143 5.649
-1.217 -9.378 4.725
-0.693 -6.641 2.973
2.571 -5.792 3.540
0.773 -3.498 1.487
-2.673 -7.049 10.369
-2.319 -9.659 8.104
0.476 -8.359 9.708
0.419 -0.887 3.753
-0.950 -5.273 5.928
-2.376 -2.187 2.148
0.000 0.000 0.000
```

***

Entry 3:
The following is a PBE calculation of NbAlMo after structural relaxation, from the Alexandria database.

Values from the calculation:
**DFT formation energy**: 1.45 eV/f.u.
**Total DFT energy (no corrections)**: -23.2 eV for the cell shown
**Energy relative to the lowest polymorph listed for this composition**: 193 kJ/mol of formula units

POSCAR file:
```
NbAlMo
1.0
2.683 0.000 0.000
0.000 2.683 0.000
-1.341 -1.341 7.455
Mo Al Nb
1 1 1
Cartesian
1.341 1.341 3.996
0.000 0.000 1.965
1.341 1.341 6.712
```

***

Entry 4:
The following is a PBE calculation of TbCe2Dy after structural relaxation, from the Alexandria database.

Values from the calculation:
**DFT formation energy**: 0.83 eV/f.u.
**Total DFT energy (no corrections)**: -40.5 eV for the cell shown
**Energy relative to the lowest polymorph listed for this composition**: 46 kJ/mol of formula units

POSCAR file:
```
TbCe2Dy
1.0
-2.826 -5.730 -1.068
2.362 -7.618 -4.625
3.626 -5.885 2.357
Tb Dy Ce
2 2 4
Cartesian
0.400 -5.808 0.644
2.994 -6.752 -1.134
0.289 -9.148 -0.772
2.875 -10.085 -2.564
3.059 -15.818 -1.766
0.104 -3.415 -1.570
0.848 -7.070 -3.584
2.315 -12.163 0.249
```

***

Entry 5:
The following is a PBE calculation of Ca2MoIr after structural relaxation, from the Alexandria database.

Values from the calculation:
**DFT formation energy**: 2.08 eV/f.u.
**Total DFT energy (no corrections)**: -21.6 eV for the cell shown
**Energy relative to the lowest polymorph listed for this composition**: 195 kJ/mol of formula units

POSCAR file:
```
Ca2MoIr
1.0
5.621 0.003 0.000
2.667 4.948 0.000
-4.144 -2.475 2.880
Ca Ir Mo
2 1 1
Cartesian
0.000 0.000 0.000
4.144 2.475 0.000
1.334 2.474 1.440
2.811 0.002 1.440
```

***

Entry 6:
The following is a PBE calculation of La2TbAlO after structural relaxation, from the Alexandria database.

Values from the calculation:
**Total DFT energy (no corrections)**: -29.9 eV for the cell shown
**Formation energy (no corrections)**: -1333 meV per atom

POSCAR file:
```
La2TbAlO
1.0
4.767 0.000 0.000
0.000 5.047 0.000
0.000 0.000 5.047
La O Al Tb
2 1 1 1
Cartesian
0.000 0.000 2.524
0.000 2.524 0.000
0.000 0.000 0.000
2.383 2.524 2.524
2.383 0.000 0.000
```

***

Entry 7:
The following is a PBE calculation of PmTm2Th after structural relaxation, from the Alexandria database.

Values from the calculation:
**DFT formation energy**: 0.47 eV/f.u.
**Total DFT energy (no corrections)**: -20.6 eV for the cell shown
**Energy relative to the lowest polymorph listed for this composition**: 40 kJ/mol of formula units

POSCAR file:
```
PmTm2Th
1.0
-5.436 0.871 1.299
-2.046 -1.794 4.959
-1.386 3.743 4.008
Th Tm Pm
1 2 1
Cartesian
0.000 0.000 0.000
-2.217 0.705 2.567
-6.651 2.115 7.700
-4.434 1.410 5.133
```

***

Entry 8:
The following is a PBE calculation of Pr6TeP5 after structural relaxation, from the Alexandria database.

Values from the calculation:
**Total DFT energy (no corrections)**: -77.3 eV for the cell shown
**Formation energy (no corrections)**: -1533 meV per atom

POSCAR file:
```
Pr6TeP5
1.0
7.252 -0.107 -1.370
-3.913 6.106 -1.370
0.138 0.248 7.370
Pr P Te
6 5 1
Cartesian
4.524 3.524 3.443
-1.047 2.723 1.187
2.866 0.545 1.187
0.981 1.763 4.736
2.495 4.484 -0.106
0.610 5.702 3.443
-2.028 5.220 2.315
-0.197 4.039 -1.370
5.505 1.028 2.315
3.536 1.961 -1.370
1.738 3.124 2.315
0.000 0.000 0.000
```